No. 1
DFT (PBE) results for a geometry-optimized LiMn2CuCl6 structure.

Summary:
The uncorrected formation energy is -101.6 kJ/mol of atoms. The crystal system is trigonal. Its total energy is -137.9 eV for the cell shown.

```
data_LiMn2CuCl6
_cell_length_a 6.3816
_cell_length_b 6.3816
_cell_length_c 17.7915
_cell_angle_alpha 90.00
_cell_angle_beta 90.00
_cell_angle_gamma 120.00
_symmetry_space_group_name_H-M 'R 3'
_symmetry_Int_Tables_number 146
_symmetry_space_group_name_Hall 'R 3'
loop_
_atom_site_label
_atom_site_type_symbol
_atom_site_fract_x
_atom_site_fract_y
_atom_site_fract_z
Li1 Li 0.0000 0.0000 0.0000
Mn1 Mn 0.0000 0.0000 0.3180
Mn2 Mn 0.0000 0.0000 0.8025
Cu1 Cu 0.0000 0.0000 0.5651
Cl1 Cl 0.0056 0.6608 0.0644
Cl2 Cl 0.0109 0.3596 0.5668
```

No. 2
DFT (PBE) results for a geometry-optimized PmTm4Pb2 structure.

Summary:
The formation energy comes out at 0.062 eV/atom. The crystal system is tetragonal. Its total energy is -59.2 eV for the cell shown.

```
data_PmTm4Pb2
_cell_length_a 4.349
_cell_length_b 4.349
_cell_length_c 22.767
_cell_angle_alpha 90.00
_cell_angle_beta 90.00
_cell_angle_gamma 90.00
_symmetry_space_group_name_H-M 'I 4/m m m'
_symmetry_Int_Tables_number 139
_symmetry_space_group_name_Hall '-I 4 2'
loop_
_atom_site_label
_atom_site_type_symbol
_atom_site_fract_x
_atom_site_fract_y
_atom_site_fract_z
Pm1 Pm 0.000 0.000 0.000
Tm1 Tm 0.000 0.000 0.135
Tm2 Tm 0.000 0.500 0.250
Pb1 Pb 0.000 0.000 0.414
```